[1]
The following is a DFT calculation (PBE-GGA) of a relaxed structure of SnBi2Sb.

**SG**: No. 123
**ΔE_f (raw)**: 0.15 eV/atom
**Energy above the most stable polymorph in this dataset**: 80 meV/atom

a b c (Å): 3.9908 5.4547 5.4547
angles (deg): 90.00 90.00 90.00
Element x y z (fractional)
Sn 0.5000 0.0000 0.0000
Bi 0.0000 0.0000 0.5000
Bi 0.0000 0.5000 0.0000
Sb 0.5000 0.5000 0.5000

=====

[2]
The following is a DFT calculation (PBE-GGA) of a relaxed structure of La7P4Br4.

**SG**: No. 139
**ΔE_f (raw)**: -1.47 eV/atom

a b c (Å): 7.5415 11.3750 11.3750
angles (deg): 83.69 70.64 70.64
Each line ends with the local moment (μB).
Element x y z (fractional)
P 0.3999 0.5000 0.2002  0.00
La 0.5000 0.3774 0.6226  0.28
P 0.1001 0.5000 0.7998  0.00
La 0.7525 0.0000 0.0000  -0.01
La 0.7140 0.0000 0.5719  0.02
P 0.1001 0.7998 0.5000  0.00
La 0.0000 0.2893 0.7107  0.15
La 0.1226 0.3774 0.3774  0.28
P 0.6001 0.7998 0.5000  0.00
La 0.8774 0.6226 0.6226  0.28
La 0.2860 0.4281 0.0000  0.02
Br 0.1180 0.7641 0.0000  0.01
La 0.2475 0.0000 0.0000  -0.01
P 0.3999 0.2002 0.5000  0.00
Br 0.5000 0.1646 0.8354  0.01
Br 0.5000 0.8354 0.1646  0.01
La 0.2893 0.7107 0.7107  0.15
La 0.7107 0.2893 0.2893  0.15
P 0.8999 0.2002 0.5000  0.00
Br 0.3354 0.1646 0.1646  0.01
La 0.5000 0.6226 0.3774  0.28
P 0.6001 0.5000 0.7998  0.00
Br 0.1180 0.0000 0.7641  0.01
La 0.2860 0.0000 0.4281  0.02
La 0.7140 0.5719 0.0000  0.02
P 0.8999 0.5000 0.2002  0.00
Br 0.8820 0.2359 0.0000  0.01
Br 0.6646 0.8354 0.8354  0.01
Br 0.8820 0.0000 0.2359  0.01
La 0.0000 0.7107 0.2893  0.15

=====

[3]
The following is a DFT calculation (PBE-GGA) of a relaxed structure of TaSb2SeI.

**SG**: No. 123
**ΔE_f (raw)**: 0.52 eV/atom
**Energy above the most stable polymorph in this dataset**: 0 meV/atom

a b c (Å): 5.4420 5.4420 5.2306
angles (deg): 90.00 90.00 90.00
Element x y z (fractional)
Sb 0.0000 0.5000 0.0000
Sb 0.5000 0.0000 0.0000
Ta 0.0000 0.0000 0.0000
Se 0.5000 0.5000 0.5000
I 0.0000 0.0000 0.5000

=====

[4]
The following is a DFT calculation (PBE-GGA) of a relaxed structure of Th2Ni3As.

**SG**: No. 69
**E_form**: -0.700 eV/atom

a b c (Å): 5.7096 5.7096 8.2913
angles (deg): 112.51 112.51 83.56
Element x y z (fractional)
Ni 0.8334 0.8334 0.1729
Th 0.7626 0.2374 0.0000
Ni 0.1647 0.1647 0.3294
Th 0.2374 0.7626 0.0000
Th 0.7500 0.2500 0.5000
Ni 0.6605 0.6605 0.8271
Th 0.2500 0.7500 0.5000
Ni 0.3395 0.3395 0.1729
As 0.3333 0.3333 0.6667
Ni 0.8353 0.8353 0.6706
Ni 0.1666 0.1666 0.8271
As 0.6667 0.6667 0.3333

=====

Summary of density of states at the Fermi level in states/eV per cell
3.4; 15.6; 3.8; 10.9
(order as listed above)
Summary of uncorrected energy in eV per atom
-3.83; -5.65; -4.51; -6.84
(order as listed above)